A geometry-optimized AcTbNd2Ho4 structure. Source: the Alexandria database, functional GGA-PBE.

Cell lengths 6.9165, 11.9692, 13.4503 Å; angles 90.00, 90.00, 90.00 degrees
With the nearest neighbours (Å) after each atom.
Space group Imma (No. 74)
Inequivalent atoms, fractional coordinates:
Ac 0.0000 0.0000 0.0000  2 Nd 3.46, 6 Ho 3.47-3.50
Tb 0.2500 0.2500 0.2500  6 Ho 3.31-3.41, 2 Tb 3.46
Nd 0.0000 0.0000 0.5000  6 Ho 3.25-3.41, 2 Ac 3.46
Nd 0.2500 0.2500 0.7500  6 Ho 3.42-3.50, 2 Nd 3.46
Ho 0.0000 0.0042 0.2582  3 Nd 3.25-3.50, 2 Tb 3.41, 2 Ho 3.47, 1 Ac 3.47
Ho 0.2374 0.2500 0.4959  2 Ho 3.28-3.63, 1 Tb 3.31, 3 Nd 3.41-3.42, 2 Ac 3.50

Summary:
The total energy is -4.145 eV/atom.